1.
Material: LaTaAu2
Method: DFT, PBE-GGA
State: optimized geometry

Lattice parameters (Å, degrees): 7.0208 7.0208 7.0208 90.00 90.00 90.00
Last column: nearest neighbours and their distance in Å.
Space group F-43m (No. 216)
Inequivalent atoms, fractional coordinates:
La1 0.0000 0.0000 0.0000  4 Ta 3.04, 4 Au 3.04
Ta1 0.2500 0.2500 0.7500  4 La 3.04, 4 Au 3.04
Au1 0.0000 0.0000 0.5000  4 Au 3.04, 4 Ta 3.04
Au2 0.2500 0.2500 0.2500  4 La 3.04, 4 Au 3.04

Output
energy relative to the elements = 0.22 eV per atom
DOS at the Fermi energy = 15.70 states/eV/cell
M_tot = 8.16 Bohr magnetons per cell



2.
Material: BaInBi2
Method: DFT, PBE-GGA
State: optimized geometry

Lattice parameters (Å, degrees): 4.6390 4.6390 24.7437 90.00 90.00 120.00
Last column: nearest neighbours and their distance in Å.
Space group R-3m (No. 166, hexagonal axes)
Inequivalent atoms, fractional coordinates:
Ba1 0.0000 0.0000 0.0000  6 Bi 3.64
In1 0.0000 0.0000 0.5000  6 Bi 3.15
Bi1 0.0000 0.0000 0.2335  3 In 3.15

Output
energy relative to the elements = -0.22 eV per atom
DOS at the Fermi energy = 10.71 states/eV/cell
M_tot = 0.00 Bohr magnetons per cell